Material: Be2HgPb
Method: DFT, SCAN
State: PBEsol geometry

**E_tot**: -37.746 eV per atom
**E above lowest polymorph**: 137 meV per atom
**DFT formation energy**: 0.4176 eV per atom

```
Be2HgPb
1.0
-0.056 3.626 -1.318
-0.191 -1.345 -3.691
-4.469 -1.800 0.887
Pb Be Hg
1 2 1
direct
0.398 0.500 0.796
0.811 0.000 0.623
0.688 0.500 0.377
0.107 0.000 0.214
```

Material: V2FeGe
Method: DFT, SCAN
State: PBEsol geometry

**E_tot**: -18.340 eV per atom
**DFT formation energy**: -0.2920 eV per atom

```
V2FeGe
1.0
-3.776 -0.465 -2.496
0.412 -4.580 0.230
-2.535 -0.039 3.843
V Fe Ge
4 2 2
direct
0.500 0.496 0.496
0.750 0.239 0.007
0.250 0.007 0.239
0.000 0.496 0.496
0.750 0.749 0.008
0.250 0.008 0.749
0.250 0.510 0.994
0.750 0.994 0.510
```

Material: MgTlIr3
Method: DFT, SCAN
State: PBEsol geometry

**E_tot**: -55.968 eV per atom
**DFT formation energy**: 2.1582 eV per atom

```
MgTlIr3
1.0
-3.301 2.164 -2.892
0.918 -3.287 -3.507
-3.493 -2.909 1.811
Tl Ir Mg
1 3 1
direct
0.000 0.000 0.000
0.000 0.500 0.000
0.000 0.000 0.500
0.500 0.000 0.000
0.500 0.500 0.500
```

Material: AlSb
Method: DFT, SCAN
State: PBEsol geometry

**Formation energy without anion corrections**: 0.303 eV per atom
**E_tot**: -22.204 eV per atom

```
AlSb
1.0
-4.734 1.022 -2.174
-4.657 -1.971 1.615
-3.931 2.760 2.260
Sb Al
2 2
direct
0.384 0.384 0.384
0.616 0.616 0.616
0.155 0.155 0.155
0.845 0.845 0.845
```

Material: KCr4Mo
Method: DFT, SCAN
State: PBEsol geometry

**E_tot**: -18.163 eV per atom
**DFT formation energy**: 1.2958 eV per atom

```
KCr4Mo
1.0
4.932 0.000 0.000
2.466 4.271 0.000
2.466 1.424 4.027
Cr K Mo
4 1 1
direct
0.376 0.376 0.376
0.376 0.376 0.873
0.873 0.376 0.376
0.376 0.873 0.376
0.750 0.750 0.750
0.000 0.000 0.000
```

Material: Ba3Mg
Method: DFT, SCAN
State: PBEsol geometry

**E_tot**: -30.868 eV per atom
**E above lowest polymorph**: 47 meV per atom
**DFT formation energy**: 0.0381 eV per atom

```
Ba3Mg
1.0
-2.842 -4.738 -3.262
-1.270 -3.443 6.108
-7.088 3.794 0.664
Ba Mg
6 2
direct
0.500 0.367 0.000
0.000 0.163 0.753
0.500 0.837 0.747
0.000 0.633 0.500
0.000 0.163 0.247
0.500 0.837 0.253
0.000 0.681 0.000
0.500 0.319 0.500
```